A relaxed structure of KGa2. Source: Alexandria, functional GGA-PBE.

Geometry as POSCAR:
```
KGa2
1.0
-1.7737 1.7737 6.4236
1.7737 -1.7737 6.4236
1.7737 1.7737 -6.4236
K Ga
1 2
direct
0.0000 0.0000 0.0000
0.2999 0.2999 0.0000
0.7001 0.7001 0.0000
```

Summary:
ΔH_f (0 K)   0.013 eV per atom
Energy relative to the lowest polymorph listed for this composition   0.113 eV per atom
M_tot   0.0 μB/f.u.
D(E_F)   1.2 states/eV per cell

A relaxed structure of KGa2. Source: Alexandria, functional GGA-PBE.

Geometry as POSCAR:
```
KGa2
1.0
4.4968 0.0000 0.0000
0.0000 4.4968 0.0000
0.0000 0.0000 8.3120
K Ga
2 4
direct
0.2500 0.2500 0.1606
0.7500 0.7500 0.8394
0.2500 0.2500 0.6836
0.2500 0.7500 0.5000
0.7500 0.2500 0.5000
0.7500 0.7500 0.3164
```

Summary:
ΔH_f (0 K)   -0.100 eV per atom
Energy relative to the lowest polymorph listed for this composition   0.000 eV per atom
M_tot   0.0 μB/f.u.
D(E_F)   3.5 states/eV per cell

A relaxed structure of K2Ga3. Source: Alexandria, functional GGA-PBE.

Geometry as POSCAR:
```
K2Ga3
1.0
5.7209 -3.7881 0.0000
5.7209 3.7881 0.0000
-2.3954 0.0000 7.2303
K Ga
4 6
direct
0.1279 0.2315 0.1683
0.2315 0.1279 0.6683
0.7685 0.8721 0.3317
0.8721 0.7685 0.8317
0.3061 0.5794 0.5602
0.3291 0.6709 0.2500
0.4206 0.6939 0.9398
0.5794 0.3061 0.0602
0.6709 0.3291 0.7500
0.6939 0.4206 0.4398
```

Summary:
ΔH_f (0 K)   -0.085 eV per atom
Energy relative to the lowest polymorph listed for this composition   0.077 eV per atom
M_tot   0.0 μB/f.u.
D(E_F)   4.3 states/eV per cell

> energy relative to the lowest polymorph listed for this composition of number 3 (K2Ga3)?

0.077 eV per atom